# 1
Below is a relaxed ZnCr2Pt crystal, with properties calculated at the PBEsol level.

a = 3.811 Å, b = 3.811 Å, c = 4.567 Å
α = 114.65°, β = 114.65°, γ = 90.00°
Each line ends with the local moment (μB).
Atoms (fractional coordinates):
Pt 0.500 0.500 0.000  0.02
Cr 0.750 0.250 0.500  -2.52
Cr 0.000 0.000 0.000  2.66
Zn 0.250 0.750 0.500  0.01

Summary:
ΔH_f (0 K): -0.0586 eV per atom
Magnetic moment: 0.19 μB per formula unit
Space group: I-4m2 (119)
Theoretical density: 11.3 g/cm³
Fermi-level density of states: 3.510 states/eV/f.u.

# 2
Below is a relaxed RbCr3Re crystal, with properties calculated at the PBEsol level.

a = 4.801 Å, b = 4.801 Å, c = 4.801 Å
α = 90.00°, β = 90.00°, γ = 90.00°
Each line ends with the local moment (μB).
Atoms (fractional coordinates):
Cr 0.500 0.000 0.000  2.92
Cr 0.000 0.500 0.000  2.92
Cr 0.000 0.000 0.500  2.92
Rb 0.500 0.500 0.500  0.03
Re 0.000 0.000 0.000  -0.90

Summary:
ΔH_f (0 K): 1.5343 eV per atom
Magnetic moment: 8.61 μB per formula unit
Space group: Pm-3m (221)
Theoretical density: 6.4 g/cm³
Fermi-level density of states: 3.886 states/eV/f.u.

# 3
Below is a relaxed Rb2CrS crystal, with properties calculated at the PBEsol level.

a = 4.546 Å, b = 9.286 Å, c = 9.286 Å
α = 86.57°, β = 75.83°, γ = 75.83°
Each line ends with the local moment (μB).
Atoms (fractional coordinates):
Rb 0.316 0.309 0.809  0.00
Rb 0.875 0.809 0.691  0.00
Rb 0.434 0.691 0.191  0.00
Rb 0.375 0.191 0.309  0.00
Cr 0.000 0.000 0.000  3.78
Cr 0.750 0.500 0.500  3.78
S 0.500 0.000 0.000  -0.08
S 0.250 0.500 0.500  -0.08

Summary:
Formation energy (no corrections): -96.9 meV per atom
Magnetic moment: 4.26 μB per formula unit
Space group: I-42d (122)
Theoretical density: 2.3 g/cm³
Fermi-level density of states: 2.642 states/eV/f.u.

# 4
Below is a relaxed RbSc3Cr crystal, with properties calculated at the PBEsol level.

a = 4.933 Å, b = 4.933 Å, c = 4.933 Å
α = 90.00°, β = 90.00°, γ = 90.00°
Each line ends with the local moment (μB).
Atoms (fractional coordinates):
Rb 0.000 0.000 0.000  -0.03
Sc 0.000 0.500 0.000  -0.09
Sc 0.000 0.000 0.500  -0.09
Sc 0.500 0.000 0.000  -0.09
Cr 0.500 0.500 0.500  3.77

Summary:
ΔH_f (0 K): 1.6897 eV per atom
Magnetic moment: 3.86 μB per formula unit
Space group: Pm-3m (221)
Theoretical density: 3.8 g/cm³
Fermi-level density of states: 3.752 states/eV/f.u.